# 1
Here is a relaxed structure of Y2FePb from Alexandria via LeMat-Bulk. Energies are from PBE-GGA.

## Properties
magnetic moment = 1.01 μB per formula unit
energy of formation from the pure elements = 5 meV per atom
space group = No. 166

a = 9.1868 Å, b = 9.1868 Å, c = 9.1868 Å
α = 22.85°, β = 22.85°, γ = 22.85°
Fractional positions:
Y (0.2338, 0.2338, 0.2338)
Y (0.7662, 0.7662, 0.7662)
Fe (0.5000, 0.5000, 0.5000)
Pb (0.0000, 0.0000, 0.0000)

***

# 2
Here is a relaxed structure of K2Rb3O2 from Alexandria via LeMat-Bulk. Energies are from PBE-GGA.

## Properties
E_form (uncorrected) = -0.76 eV per atom
magnetic moment = 0.00 μB per formula unit
space group = No. 10

a = 4.2734 Å, b = 5.2780 Å, c = 12.4473 Å
α = 90.00°, β = 99.26°, γ = 90.00°
Fractional positions:
K (0.0801, 0.0000, 0.1760)
K (0.9199, 0.0000, 0.8240)
Rb (0.3504, 0.5000, 0.6796)
Rb (0.5000, 0.5000, 0.0000)
Rb (0.6496, 0.5000, 0.3204)
O (0.0846, 0.5000, 0.1812)
O (0.9154, 0.5000, 0.8188)

***

# 3
Here is a relaxed structure of La2Cd2Se from Alexandria via LeMat-Bulk. Energies are from PBE-GGA.

## Properties
ΔE to the lowest computed polymorph = 0 meV/atom
E_form (uncorrected) = -0.69 eV per atom
magnetic moment = 0.00 μB per formula unit
space group = No. 127

a = 7.9252 Å, b = 7.9252 Å, c = 5.1545 Å
α = 90.00°, β = 90.00°, γ = 90.00°
Fractional positions:
La (0.1663, 0.3337, 0.0000)
La (0.3337, 0.8337, 0.0000)
La (0.6663, 0.1663, 0.0000)
La (0.8337, 0.6663, 0.0000)
Cd (0.1331, 0.6331, 0.5000)
Cd (0.3669, 0.1331, 0.5000)
Cd (0.6331, 0.8669, 0.5000)
Cd (0.8669, 0.3669, 0.5000)
Se (0.0000, 0.0000, 0.0000)
Se (0.5000, 0.5000, 0.0000)

***

# 4
Here is a relaxed structure of MnTlAgCl5 from Alexandria via LeMat-Bulk. Energies are from PBE-GGA.

## Properties
E_form (uncorrected) = -0.83 eV per atom
magnetic moment = 3.99 μB per formula unit
space group = No. 15

a = 7.7261 Å, b = 7.7261 Å, c = 9.2401 Å
α = 101.63°, β = 101.63°, γ = 113.90°
Fractional positions:
Mn (0.1614, 0.8386, 0.7500)
Mn (0.8386, 0.1614, 0.2500)
Tl (0.1815, 0.8185, 0.2500)
Tl (0.8185, 0.1815, 0.7500)
Ag (0.5000, 0.5000, 0.0000)
Ag (0.5000, 0.5000, 0.5000)
Cl (0.1092, 0.2115, 0.4324)
Cl (0.1950, 0.6475, 0.8979)
Cl (0.2115, 0.1092, 0.9324)
Cl (0.3525, 0.8050, 0.6021)
Cl (0.4243, 0.5757, 0.2500)
Cl (0.5757, 0.4243, 0.7500)
Cl (0.6475, 0.1950, 0.3979)
Cl (0.7885, 0.8908, 0.0676)
Cl (0.8050, 0.3525, 0.1021)
Cl (0.8908, 0.7885, 0.5676)

***

# 5
Here is a relaxed structure of LaTmLuHg from Alexandria via LeMat-Bulk. Energies are from PBE-GGA.

## Properties
magnetic moment = 0.00 μB per formula unit
energy of formation from the pure elements = -75 meV per atom
space group = No. 216

a = 5.4627 Å, b = 5.4627 Å, c = 5.4627 Å
α = 60.00°, β = 60.00°, γ = 60.00°
Fractional positions:
La (0.0000, 0.0000, 0.0000)
Tm (0.5000, 0.5000, 0.5000)
Lu (0.2500, 0.2500, 0.2500)
Hg (0.7500, 0.7500, 0.7500)

***

# 6
Here is a relaxed structure of EuCuCl2 from Alexandria via LeMat-Bulk. Energies are from PBE-GGA.

## Properties
E_form (uncorrected) = -0.78 eV per atom
magnetic moment = 7.60 μB per formula unit
space group = No. 166

a = 8.4069 Å, b = 8.4069 Å, c = 8.4069 Å
α = 26.63°, β = 26.63°, γ = 26.63°
Fractional positions:
Eu (0.0000, 0.0000, 0.0000)
Cu (0.5000, 0.5000, 0.5000)
Cl (0.1133, 0.1133, 0.1133)
Cl (0.8867, 0.8867, 0.8867)

***

Q: Which value of magnetic moment does entry 1 give?
A: 1.01 μB per formula unit